Compound: In2Sn5Pb2
Source: Alexandria via LeMat-Bulk
Functional: GGA-PBE
Structure: relaxed

Cell lengths 3.515, 14.297, 5.896 Å; angles 66.02, 73.39, 89.99 degrees
Positions (direct):
1 In 0.997 0.335 0.011
2 Sn 0.337 0.451 0.326
3 Pb 0.339 0.774 0.328
4 In 0.003 0.665 0.989
5 Sn 0.663 0.549 0.674
6 Pb 0.661 0.226 0.672
7 Sn 0.000 0.000 0.000
8 Sn 0.672 0.892 0.658
9 Sn 0.328 0.108 0.342

Calculated values
* crystal system: triclinic
* ΔH_f (0 K): 0.037 eV per atom


Compound: In15SnPb4
Source: Alexandria via LeMat-Bulk
Functional: GGA-PBE
Structure: relaxed

Cell lengths 5.069, 5.069, 21.907 Å; angles 90.00, 90.00, 90.00 degrees
Positions (direct):
1 In 0.500 0.500 0.000
2 In 0.000 0.500 0.903
3 In 0.500 0.000 0.701
4 In 0.500 0.500 0.399
5 In 0.000 0.500 0.299
6 Pb 0.000 0.000 0.601
7 Pb 0.000 0.000 0.198
8 In 0.500 0.000 0.903
9 In 0.500 0.500 0.802
10 In 0.500 0.500 0.601
11 In 0.000 0.500 0.500
12 Pb 0.000 0.000 0.399
13 In 0.500 0.000 0.097
14 In 0.000 0.500 0.097
15 In 0.500 0.000 0.500
16 In 0.500 0.000 0.299
17 In 0.500 0.500 0.198
18 In 0.000 0.500 0.701
19 Pb 0.000 0.000 0.802
20 Sn 0.000 0.000 0.000

Calculated values
* crystal system: tetragonal
* ΔH_f (0 K): 0.009 eV per atom


Compound: InSn3Pb2
Source: Alexandria via LeMat-Bulk
Functional: GGA-PBE
Structure: relaxed

Cell lengths 6.269, 8.616, 8.616 Å; angles 73.90, 68.67, 68.67 degrees
Positions (direct):
1 Sn 0.991 0.759 0.759
2 Sn 0.491 0.759 0.759
3 Sn 0.009 0.241 0.241
4 Sn 0.750 0.500 0.500
5 Pb 0.633 0.600 0.135
6 In 0.000 0.000 0.000
7 Pb 0.367 0.400 0.865
8 Pb 0.867 0.865 0.400
9 Pb 0.133 0.135 0.600
10 Sn 0.250 0.500 0.500
11 Sn 0.509 0.241 0.241
12 In 0.500 0.000 0.000

Calculated values
* crystal system: orthorhombic
* ΔH_f (0 K): 0.141 eV per atom
* polymorph energy (0 for the lowest one): 0.069 eV per atom


Compound: InSn3Pb7
Source: Alexandria via LeMat-Bulk
Functional: GGA-PBE
Structure: relaxed

Cell lengths 7.948, 7.117, 7.117 Å; angles 120.00, 90.00, 90.00 degrees
Positions (direct):
1 Pb 0.473 0.329 0.165
2 Sn 0.779 0.485 0.515
3 Pb 0.107 0.679 0.840
4 Pb 0.107 0.160 0.840
5 Pb 0.107 0.667 0.333
6 Sn 0.779 0.029 0.515
7 Sn 0.779 0.485 0.971
8 Pb 0.473 0.835 0.165
9 Pb 0.473 0.835 0.671
10 In 0.432 0.333 0.667
11 Pb 0.107 0.160 0.321

Calculated values
* crystal system: trigonal
* ΔH_f (0 K): 0.058 eV per atom
* polymorph energy (0 for the lowest one): 0.000 eV per atom


Compound: In3Sn3Pb2
Source: Alexandria via LeMat-Bulk
Functional: GGA-PBE
Structure: relaxed

Cell lengths 3.419, 8.728, 8.728 Å; angles 117.47, 90.00, 90.00 degrees
Positions (direct):
1 In 0.500 0.715 0.715
2 Pb 0.000 0.337 0.588
3 Sn 0.000 0.053 0.771
4 In 0.500 0.961 0.411
5 Pb 0.000 0.588 0.337
6 Sn 0.000 0.771 0.053
7 Sn 0.000 0.165 0.165
8 In 0.500 0.411 0.961

Calculated values
* crystal system: orthorhombic
* ΔH_f (0 K): 0.050 eV per atom


Compound: In2Sn4Pb
Source: Alexandria via LeMat-Bulk
Functional: GGA-PBE
Structure: relaxed

Cell lengths 4.238, 4.238, 11.893 Å; angles 100.26, 100.26, 90.00 degrees
Positions (direct):
1 In 0.423 0.423 0.845
2 Sn 0.250 0.750 0.500
3 In 0.577 0.577 0.155
4 Sn 0.860 0.860 0.721
5 Sn 0.140 0.140 0.279
6 Sn 0.750 0.250 0.500
7 Pb 0.000 0.000 0.000

Calculated values
* crystal system: tetragonal
* ΔH_f (0 K): 0.106 eV per atom
* polymorph energy (0 for the lowest one): 0.000 eV per atom


Compound: In9Sn4Pb11
Source: Alexandria via LeMat-Bulk
Functional: GGA-PBE
Structure: relaxed

Cell lengths 14.204, 14.204, 3.520 Å; angles 90.00, 90.00, 92.47 degrees
Positions (direct):
1 Sn 0.720 0.556 0.500
2 Pb 0.233 0.233 0.000
3 Pb 0.000 0.000 0.000
4 In 0.865 0.383 0.500
5 Pb 0.073 0.409 0.000
6 Sn 0.444 0.280 0.500
7 Pb 0.817 0.183 0.000
8 Pb 0.927 0.591 0.000
9 In 0.500 0.500 0.500
10 Pb 0.358 0.642 0.000
11 Pb 0.183 0.817 0.000
12 In 0.135 0.617 0.500
13 In 0.204 0.025 0.500
14 In 0.796 0.975 0.500
15 In 0.617 0.135 0.500
16 Pb 0.767 0.767 0.000
17 Pb 0.591 0.927 0.000
18 In 0.383 0.865 0.500
19 In 0.025 0.204 0.500
20 In 0.975 0.796 0.500
21 Pb 0.409 0.073 0.000
22 Sn 0.280 0.444 0.500
23 Pb 0.642 0.358 0.000
24 Sn 0.556 0.720 0.500

Calculated values
* crystal system: orthorhombic
* ΔH_f (0 K): 0.034 eV per atom


Compound: InSn2Pb8
Source: Alexandria via LeMat-Bulk
Functional: GGA-PBE
Structure: relaxed

Cell lengths 5.907, 8.479, 8.479 Å; angles 61.85, 77.87, 77.87 degrees
Positions (direct):
1 Pb 0.065 0.771 0.771
2 Pb 0.658 0.639 0.639
3 Pb 0.935 0.229 0.229
4 Pb 0.342 0.361 0.361
5 Pb 0.221 0.369 0.775
6 In 0.000 0.000 0.000
7 Sn 0.504 0.879 0.879
8 Pb 0.779 0.225 0.631
9 Pb 0.779 0.631 0.225
10 Pb 0.221 0.775 0.369
11 Sn 0.496 0.121 0.121

Calculated values
* crystal system: monoclinic
* ΔH_f (0 K): 0.121 eV per atom
* polymorph energy (0 for the lowest one): 0.092 eV per atom


Compound: InSn4Pb2
Source: Alexandria via LeMat-Bulk
Functional: GGA-PBE
Structure: relaxed

Cell lengths 4.423, 5.024, 10.865 Å; angles 103.37, 90.00, 90.00 degrees
Positions (direct):
1 In 0.000 0.500 0.000
2 Sn 0.000 0.909 0.818
3 Sn 0.500 0.603 0.206
4 Sn 0.500 0.397 0.794
5 Sn 0.000 0.091 0.182
6 Pb 0.500 0.801 0.602
7 Pb 0.500 0.199 0.398

Calculated values
* crystal system: orthorhombic
* ΔH_f (0 K): 0.141 eV per atom
* polymorph energy (0 for the lowest one): 0.069 eV per atom


Compound: Sr2InSn4Pb2
Source: Alexandria via LeMat-Bulk
Functional: GGA-PBE
Structure: relaxed

Cell lengths 7.589, 7.589, 7.589 Å; angles 85.59, 122.58, 122.58 degrees
Positions (direct):
1 Sr 0.000 0.278 0.278
2 Sn 0.000 0.724 0.276
3 Sn 0.552 0.276 0.276
4 Sn 0.000 0.276 0.724
5 In 0.000 0.000 0.000
6 Pb 0.500 0.750 0.250
7 Sr 0.000 0.722 0.722
8 Sn 0.448 0.724 0.724
9 Pb 0.500 0.250 0.750

Calculated values
* crystal system: tetragonal
* ΔH_f (0 K): -0.072 eV per atom


Compound: TaInSn2Pb
Source: Alexandria via LeMat-Bulk
Functional: GGA-PBE
Structure: relaxed

Cell lengths 5.502, 5.373, 5.502 Å; angles 90.00, 90.00, 90.00 degrees
Last column: magnetic moment on the atom in μB.
Positions (direct):
1 Pb 0.500 0.500 0.500  -0.03
2 Sn 0.000 0.000 0.500  -0.01
3 Sn 0.500 0.000 0.000  -0.02
4 Ta 0.000 0.500 0.000  1.44
5 In 0.000 0.000 0.000  0.03

Calculated values
* crystal system: tetragonal
* ΔH_f (0 K): 1.221 eV per atom


Compound: InSn2Te6Pb3
Source: Alexandria via LeMat-Bulk
Functional: GGA-PBE
Structure: relaxed

Cell lengths 4.544, 9.162, 10.231 Å; angles 102.99, 102.83, 90.00 degrees
Positions (direct):
1 Te 0.002 0.244 0.003
2 Pb 0.167 0.833 0.335
3 In 0.500 0.000 0.000
4 Sn 0.834 0.668 0.668
5 Te 0.668 0.578 0.337
6 Te 0.332 0.422 0.663
7 Sn 0.166 0.332 0.332
8 Pb 0.833 0.167 0.665
9 Te 0.998 0.756 0.997
10 Te 0.336 0.913 0.671
11 Te 0.664 0.087 0.329
12 Pb 0.500 0.500 0.000

Calculated values
* crystal system: monoclinic
* formation energy from raw total energies: -0.332 eV/atom


no.,size of the total moment (μB per formula unit)
1,0.0
2,0.0
3,0.0
4,0.0
5,0.0
6,0.0
7,0.0
8,0.0
9,0.0
10,0.0
11,2.1
12,0.0